PBE RbAcTe4, optimized geometry; E_form (uncorrected) = -0.35 eV/atom; total magnetic moment = 0.00 μB/f.u.; symmetry = No. 216; excess energy over the best structure of this formula in the dataset = 381.3 kJ/mol of formula units
1.0
0.0000 4.7255 4.7255
4.7255 0.0000 4.7255
4.7255 4.7255 0.0000
Rb Ac Te
1 1 4
Cartesian
0.0000 0.0000 0.0000 Rb
2.3627 2.3627 2.3627 Ac
5.9016 3.5493 3.5493 Te
3.5493 5.9016 3.5493 Te
3.5493 3.5493 5.9016 Te
5.9016 5.9016 5.9016 Te

PBE AlNi6B2, optimized geometry; total magnetic moment = 0.00 μB/f.u.; symmetry = No. 71; uncorrected energy = -6.10 eV per atom
1.0
-3.3607 3.4650 3.8028
3.3607 -3.4650 3.8028
3.3607 3.4650 -3.8028
Al Ni B
2 12 4
Cartesian
0.0000 0.0000 0.0000 Al
0.0000 0.0000 3.8028 Al
3.3607 2.0172 -1.9674 Ni
1.9799 1.3223 0.0000 Ni
4.7414 1.3223 0.0000 Ni
1.3003 3.4650 -1.3419 Ni
2.0603 0.0000 2.4609 Ni
0.0000 1.4478 1.8354 Ni
3.3607 2.0172 1.9674 Ni
1.3003 3.4650 1.3419 Ni
2.0603 0.0000 5.1447 Ni
-1.3808 2.1427 3.8028 Ni
1.3808 2.1427 3.8028 Ni
0.0000 1.4478 5.7702 Ni
3.3607 0.0000 0.9031 B
0.0000 2.4178 0.0000 B
0.0000 4.5121 0.0000 B
0.0000 3.4650 2.8997 B

PBE CaAcNd, optimized geometry; total magnetic moment = 0.00 μB/f.u.; symmetry = No. 63; excess energy over the best structure of this formula in the dataset = 1.4 kJ/mol of formula units
1.0
3.8566 0.0000 0.0000
0.0000 20.4334 0.0000
0.0000 0.0000 6.1797
Ca Ac Nd
4 4 4
Cartesian
0.0000 4.4411 1.5449 Ca
0.0000 15.9922 4.6348 Ca
1.9283 5.7756 4.6348 Ca
1.9283 14.6578 1.5449 Ca
0.0000 2.1946 4.6348 Ac
0.0000 18.2388 1.5449 Ac
1.9283 8.0221 1.5449 Ac
1.9283 12.4113 4.6348 Ac
0.0000 9.1545 4.6348 Nd
0.0000 11.2789 1.5449 Nd
1.9283 1.0622 1.5449 Nd
1.9283 19.3712 4.6348 Nd

PBE Sc2PRh, optimized geometry; total magnetic moment = 0.00 μB/f.u.; symmetry = No. 38; uncorrected energy = -7.51 eV per atom
1.0
4.0377 0.0000 0.0000
0.0000 3.5161 0.0000
0.0000 0.0000 9.9175
Sc P Rh
4 2 2
Cartesian
0.0000 0.0000 0.0000 Sc
0.0000 1.7580 4.9588 Sc
2.0188 0.0000 2.8071 Sc
2.0188 1.7580 7.7659 Sc
2.0188 0.0000 5.5486 P
2.0188 1.7580 0.5898 P
0.0000 0.0000 7.1916 Rh
0.0000 1.7580 2.2328 Rh